Record 1
Material: Lu3AsS2
Method: DFT, PBE
State: optimized geometry

Cell: 3.897 3.897 9.438 Å, 90.00 90.00 120.00°
Fractional coordinates of all 6 atoms:
Lu  0.000  0.000  0.000
Lu  0.333  0.667  0.673
Lu  0.667  0.333  0.327
As  0.000  0.000  0.500
S  0.333  0.667  0.161
S  0.667  0.333  0.839

As for the symmetry: P-3m1 (164). As for the crystal system: trigonal. The final energy comes out at -6.166 eV per atom.

***

Record 2
Material: Lu3AsS6
Method: DFT, PBE
State: optimized geometry

Cell: 11.112 3.841 11.242 Å, 90.00 109.79 90.00°
Fractional coordinates of all 20 atoms:
Lu  0.013  0.250  0.340
Lu  0.333  0.750  0.429
Lu  0.434  0.250  0.841
Lu  0.566  0.750  0.159
Lu  0.667  0.250  0.571
Lu  0.987  0.750  0.660
As  0.186  0.750  0.971
As  0.814  0.250  0.029
S  0.038  0.250  0.882
S  0.121  0.750  0.492
S  0.219  0.250  0.274
S  0.247  0.750  0.793
S  0.399  0.250  0.067
S  0.439  0.250  0.608
S  0.561  0.750  0.392
S  0.601  0.750  0.933
S  0.753  0.250  0.207
S  0.781  0.750  0.726
S  0.879  0.250  0.508
S  0.962  0.750  0.118

As for the symmetry: P2_1/m (11). As for the crystal system: monoclinic. The final energy comes out at -5.796 eV per atom.

***

Record 3
Material: Lu3Sb2As
Method: DFT, PBE
State: optimized geometry

Cell: 4.197 4.197 10.406 Å, 90.00 90.00 120.00°
Fractional coordinates of all 6 atoms:
Lu  0.000  0.000  0.000
Lu  0.333  0.667  0.651
Lu  0.667  0.333  0.349
Sb  0.333  0.667  0.173
Sb  0.667  0.333  0.827
As  0.000  0.000  0.500

As for the symmetry: P-3m1 (164). As for the crystal system: trigonal. The final energy comes out at -5.563 eV per atom.

***

Q: Which of these has the highest final energy?
A: Lu3Sb2As

***

Copy entry 1 word for word.
Material: Lu3AsS2
Method: DFT, PBE
State: optimized geometry

Cell: 3.897 3.897 9.438 Å, 90.00 90.00 120.00°
Fractional coordinates of all 6 atoms:
Lu  0.000  0.000  0.000
Lu  0.333  0.667  0.673
Lu  0.667  0.333  0.327
As  0.000  0.000  0.500
S  0.333  0.667  0.161
S  0.667  0.333  0.839

As for the symmetry: P-3m1 (164). As for the crystal system: trigonal. The final energy comes out at -6.166 eV per atom.

***

Q: What is the formula in the second record?
A: Lu3AsS6

***

Q: Which value of final energy does entry 2 give?
A: -5.796 eV per atom